Here is a geometry-optimized Nd4Fe4As4O3F structure from Alexandria. Energies are from GGA+U.

Unit cell a=5.7197 b=5.7197 c=18.2369 alpha=90.00 beta=90.00 gamma=90.00
Space group I-42m (No. 121)
Unique sites:
Nd (0.2394, 0.2394, 0.4305) (multiplicity 8)
Fe (0.0000, 0.0000, 0.2505) (multiplicity 4)
Fe (0.0000, 0.5000, 0.2500) (multiplicity 4)
As (0.2483, 0.2483, 0.1582) (multiplicity 8)
O (0.0000, 0.0000, 0.5000) (multiplicity 2)
O (0.0000, 0.5000, 0.0000) (multiplicity 4)
F (0.0000, 0.0000, 0.0000) (multiplicity 2)

The volume is 18.645 Å³/atom. The value obtained for the electronic total energy is -6.45 eV per atom.